Entry 1:
Compound: Rb4La3ScS8
Source: Alexandria
Functional: PBE
Structure: relaxed

Unit cell a=9.0939 b=9.0939 c=9.0939 alpha=55.22 beta=55.22 gamma=55.22
Last column: nearest neighbours and their distance in Å.
Sites, in units of the cell vectors:
Rb  0.0000  0.0000  0.0000  6 S 3.51
Rb  0.0000  0.5000  0.5000  6 S 3.35
Rb  0.5000  0.0000  0.5000  6 S 3.35
Rb  0.5000  0.5000  0.0000  6 S 3.35
La  0.0000  0.0000  0.5000  6 S 2.88-2.91
La  0.0000  0.5000  0.0000  6 S 2.88-2.91
La  0.5000  0.0000  0.0000  6 S 2.88-2.91
Sc  0.5000  0.5000  0.5000  6 S 2.71
S  0.2337  0.2337  0.2337  3 La 2.88
S  0.2516  0.7196  0.7196  1 Sc 2.71, 2 La 2.91
S  0.2804  0.2804  0.7484  1 Sc 2.71, 2 La 2.91
S  0.2804  0.7484  0.2804  1 Sc 2.71, 2 La 2.91
S  0.7196  0.2516  0.7196  1 Sc 2.71, 2 La 2.91
S  0.7196  0.7196  0.2516  1 Sc 2.71, 2 La 2.91
S  0.7484  0.2804  0.2804  1 Sc 2.71, 2 La 2.91
S  0.7663  0.7663  0.7663  3 La 2.88

Values from the calculation:
**Raw formation energy**: -1.826 eV/atom
**DOS at the Fermi energy**: 0.000 states/eV/cell
**Symmetry**: No. 166
**Energy**: -5.451 eV per atom

Entry 2:
Compound: SrAs2Pd4
Source: Alexandria
Functional: PBE
Structure: relaxed

Unit cell a=8.0572 b=8.0572 c=3.9582 alpha=90.00 beta=90.00 gamma=90.00
Last column: nearest neighbours and their distance in Å.
Sites, in units of the cell vectors:
Sr  0.0000  0.0000  0.0000  6 As 3.17-3.21, 8 Pd 3.44
Sr  0.5000  0.5000  0.5000  6 As 3.17-3.21, 8 Pd 3.44
As  0.2215  0.2215  0.5000  6 Pd 2.56-2.65
As  0.2785  0.7215  0.0000  6 Pd 2.56-2.65
As  0.7215  0.2785  0.0000  6 Pd 2.56-2.65
As  0.7785  0.7785  0.5000  6 Pd 2.56-2.65
Pd  0.0866  0.6617  0.5000  3 As 2.56-2.65
Pd  0.1617  0.4134  0.0000  3 As 2.56-2.65
Pd  0.3383  0.9134  0.5000  3 As 2.56-2.65
Pd  0.4134  0.1617  0.0000  3 As 2.56-2.65
Pd  0.5866  0.8383  0.0000  3 As 2.56-2.65
Pd  0.6617  0.0866  0.5000  3 As 2.56-2.65
Pd  0.8383  0.5866  0.0000  3 As 2.56-2.65
Pd  0.9134  0.3383  0.5000  3 As 2.56-2.65

Values from the calculation:
**Excess energy over the best structure of this formula in the dataset**: 0 meV per atom
**Energy of formation**: -64.0 kJ per mole of atoms
**DOS at the Fermi energy**: 5.588 states/eV/cell
**Symmetry**: No. 136
**Energy**: -5.199 eV per atom

- Among the records above, which one has the lowest DOS at the Fermi energy?
  Rb4La3ScS8